A relaxed NaNi2MoO crystal, computed with GGA+U.

a b c (Å): 4.4053 4.4053 5.3903
angles (deg): 90.00 90.00 90.00
Atoms (fractional coordinates):
Na 0.0000 0.0000 0.0000
Ni 0.0000 0.5000 0.0000
Ni 0.5000 0.0000 0.0000
Mo 0.0000 0.0000 0.5000
O 0.5000 0.5000 0.5000

Computed properties:
DOS(E_F) ... 0.492 states/eV/atom
Raw total energy ... -1.83 eV/atom
Symmetry ... P4/mmm
Magnetization ... 0.39 μB per atom